DFT (GGA-PBE) results for an optimized crystal structure of LaOsPb.

POSCAR file:
```
LaOsPb
1.0
-1.717 1.717 6.186
1.717 -1.717 6.186
1.717 1.717 -6.186
La Os Pb
1 1 1
direct
0.000 0.000 0.000 La
0.351 0.351 0.000 Os
0.721 0.721 0.000 Pb
```

Values from the calculation:
Energy of formation from the pure elements (eV/atom): 0.122
SG: I4mm, No. 107
D(E_F) (states/eV/cell): 1.8
Electronic total energy (eV for the cell shown): -19.50